# CeNd2P

Crystalline CeNd2P at its relaxed geometry (PBE, Alexandria via LeMat-Bulk).

Geometry as CIF:
```
data_CeNd2P
_space_group_name_H-M_alt 'P 1'
_space_group_IT_number 1
_space_group_name_Hall 'P 1'
_cell_length_a 9.737
_cell_length_b 9.737
_cell_length_c 9.737
_cell_angle_alpha 23.15
_cell_angle_beta 23.15
_cell_angle_gamma 23.15
loop_
_atom_site_label
_atom_site_type_symbol
_atom_site_fract_x
_atom_site_fract_y
_atom_site_fract_z
_atom_site_occupancy
Ce1 Ce 0.000 0.000 0.000 1
Nd1 Nd 0.227 0.227 0.227 1
Nd2 Nd 0.773 0.773 0.773 1
P1 P 0.500 0.500 0.500 1
```

formation energy from the elements: -560 meV/atom
calculated volume: 125.28 Å³/cell
energy: -23.12 eV/f.u.
crystal system: trigonal
SG: R-3m